(1)
Crystalline InCoSe2 at its relaxed geometry, computed with PBE.

Summary:
Formation energy (no corrections): -18.5 kJ/mol of atoms
Crystal system: monoclinic
Density of states at the Fermi level: 1.136 states/eV/cell
Space group: P2/m, No. 10

a b c (Å): 4.8469 3.5375 5.3296
angles (deg): 90.00 115.01 90.00
With the nearest neighbours (Å) after each atom.
Fractional positions:
In 0.0000 0.0000 0.0000  2 Co 2.66
Co 0.0000 0.0000 0.5000  4 Se 2.35
Se 0.3514 0.5000 0.6545  2 Co 2.35, 1 Se 2.61
Se 0.6486 0.5000 0.3455  2 Co 2.35, 1 Se 2.61

(2)
Crystalline InCoSe2 at its relaxed geometry, computed with PBE.

Summary:
Formation energy (no corrections): 24.4 kJ/mol of atoms
Crystal system: monoclinic
Density of states at the Fermi level: 5.619 states/eV/cell
Space group: C2/m, No. 12

a b c (Å): 4.7995 4.7995 4.6781
angles (deg): 110.54 110.54 105.56
With the nearest neighbours (Å) after each atom.
Fractional positions:
In 0.0000 0.0000 0.0000  4 Se 2.70, 2 Co 2.90
Co 0.5000 0.5000 0.0000  4 Se 2.70, 2 In 2.90
Se 0.0000 0.5000 0.5000  2 In 2.70, 2 Co 2.70, 2 Se 2.90
Se 0.5000 0.0000 0.5000  2 In 2.70, 2 Co 2.70, 2 Se 2.90